Here is a relaxed structure of PmTh2Ga from Alexandria via LeMat-Bulk. Energies are from GGA-PBE.

Cell: 4.904 4.808 4.808 Å, 90.00 90.00 90.00°
Fractional coordinates of all 4 atoms:
Pm (0.500, 0.500, 0.500)
Th (0.000, 0.000, 0.500)
Th (0.000, 0.500, 0.000)
Ga (0.500, 0.000, 0.000)

## Properties
electronic total energy: -5.8265 eV/atom
E_form: -66 kJ/mol of formula units
energy above the most stable polymorph in this dataset: 0.00 eV/f.u.



Here is a relaxed structure of GeAsSe2Br from Alexandria via LeMat-Bulk. Energies are from GGA-PBE.

Cell: 4.904 4.904 5.368 Å, 90.00 90.00 90.00°
Fractional coordinates of all 5 atoms:
Br (0.500, 0.500, 0.500)
As (0.000, 0.000, 0.500)
Se (0.500, 0.000, 0.000)
Se (0.000, 0.500, 0.000)
Ge (0.000, 0.000, 0.000)

## Properties
electronic total energy: -3.0057 eV/atom
ΔE_f (raw): 576.1 meV per atom
energy above the most stable polymorph in this dataset: 1.06 eV/f.u.



Here is a relaxed structure of CoNi6Sb from Alexandria via LeMat-Bulk. Energies are from GGA-PBE.

Cell: 6.284 6.284 10.309 Å, 90.00 90.00 109.54°
Last column: magnetic moment on the atom in μB.
Fractional coordinates of all 32 atoms:
Ni (0.000, 0.000, 0.250)  0.03
Ni (0.619, 0.864, 0.381)  0.19
Ni (0.744, 0.256, 0.990)  0.43
Ni (0.129, 0.386, 0.631)  0.57
Ni (0.614, 0.871, 0.869)  0.57
Ni (0.381, 0.136, 0.381)  0.19
Ni (0.129, 0.386, 0.869)  0.57
Ni (0.381, 0.136, 0.119)  0.19
Ni (0.619, 0.864, 0.119)  0.19
Ni (0.386, 0.129, 0.631)  0.57
Ni (0.864, 0.619, 0.119)  0.19
Ni (0.256, 0.744, 0.510)  0.43
Ni (0.864, 0.619, 0.381)  0.19
Ni (0.500, 0.500, 0.750)  0.70
Ni (0.871, 0.614, 0.631)  0.57
Ni (0.136, 0.381, 0.381)  0.19
Ni (0.500, 0.500, 0.250)  0.30
Ni (0.256, 0.744, 0.990)  0.43
Ni (0.871, 0.614, 0.869)  0.57
Ni (0.614, 0.871, 0.631)  0.57
Ni (0.386, 0.129, 0.869)  0.57
Ni (0.136, 0.381, 0.119)  0.19
Ni (0.744, 0.256, 0.510)  0.43
Ni (0.000, 0.000, 0.750)  0.34
Sb (0.248, 0.752, 0.250)  0.00
Sb (0.000, 0.000, 0.506)  0.00
Sb (0.000, 0.000, 0.994)  0.00
Sb (0.752, 0.248, 0.250)  0.00
Co (0.751, 0.249, 0.750)  1.84
Co (0.500, 0.500, 0.992)  1.87
Co (0.249, 0.751, 0.750)  1.84
Co (0.500, 0.500, 0.508)  1.87

## Properties
electronic total energy: -5.7714 eV/atom
ΔE_f (raw): -31.9 meV per atom
energy above the most stable polymorph in this dataset: 0.03 eV/f.u.



Here is a relaxed structure of Np3TaSi6 from Alexandria via LeMat-Bulk. Energies are from GGA-PBE.

Cell: 7.219 7.219 7.219 Å, 96.60 96.60 96.60°
Last column: magnetic moment on the atom in μB.
Fractional coordinates of all 20 atoms:
Si (0.481, 0.128, 0.410)  -0.03
Si (0.872, 0.590, 0.519)  -0.03
Si (0.090, 0.372, 0.019)  -0.03
Si (0.128, 0.410, 0.481)  -0.03
Si (0.981, 0.910, 0.628)  -0.03
Si (0.372, 0.019, 0.090)  -0.03
Si (0.590, 0.519, 0.872)  -0.03
Si (0.628, 0.981, 0.910)  -0.03
Si (0.910, 0.628, 0.981)  -0.03
Si (0.410, 0.481, 0.128)  -0.03
Si (0.019, 0.090, 0.372)  -0.03
Si (0.519, 0.872, 0.590)  -0.03
Np (0.812, 0.250, 0.688)  3.43
Np (0.250, 0.688, 0.812)  3.43
Np (0.188, 0.750, 0.312)  3.43
Np (0.312, 0.188, 0.750)  3.43
Np (0.688, 0.812, 0.250)  3.43
Np (0.750, 0.312, 0.188)  3.43
Ta (0.500, 0.500, 0.500)  -0.21
Ta (0.000, 0.000, 0.000)  -0.21

## Properties
electronic total energy: -8.5690 eV/atom
ΔE_f (raw): -247.7 meV per atom



Here is a relaxed structure of In2SbW from Alexandria via LeMat-Bulk. Energies are from GGA-PBE.

Cell: 4.588 3.601 5.720 Å, 71.81 90.00 90.00°
Fractional coordinates of all 4 atoms:
In (0.000, 0.967, 0.944)
In (0.500, 0.287, 0.300)
Sb (0.000, 0.692, 0.490)
W (0.500, 0.553, 0.767)

## Properties
electronic total energy: -5.1160 eV/atom
ΔE_f (raw): 522.1 meV per atom



Here is a relaxed structure of La2MnW from Alexandria via LeMat-Bulk. Energies are from GGA-PBE.

Cell: 8.087 8.087 6.472 Å, 51.34 51.34 90.00°
Last column: magnetic moment on the atom in μB.
Fractional coordinates of all 8 atoms:
La (0.375, 0.366, 0.750)  -0.10
La (0.875, 0.884, 0.750)  -0.10
La (0.116, 0.625, 0.250)  -0.09
La (0.634, 0.125, 0.250)  -0.10
W (0.750, 0.250, 0.500)  -0.15
W (0.000, 0.000, 0.000)  -0.14
Mn (0.500, 0.500, 0.000)  3.60
Mn (0.250, 0.750, 0.500)  3.60

## Properties
electronic total energy: -7.0029 eV/atom
E_form: 383 kJ/mol of formula units
energy above the most stable polymorph in this dataset: 2.69 eV/f.u.



Here is a relaxed structure of SrCdSn2Cl8 from Alexandria via LeMat-Bulk. Energies are from GGA-PBE.

Cell: 6.730 6.437 8.634 Å, 89.89 90.23 89.21°
Fractional coordinates of all 12 atoms:
Cl (0.337, 0.276, 0.477)
Cl (0.683, 0.743, 0.976)
Cl (0.819, 0.202, 0.229)
Cl (0.663, 0.724, 0.523)
Cl (0.143, 0.761, 0.232)
Cl (0.181, 0.798, 0.771)
Cl (0.317, 0.257, 0.024)
Cl (0.857, 0.239, 0.768)
Sr (0.000, 0.000, 0.500)
Sn (0.512, 0.504, 0.760)
Sn (0.488, 0.496, 0.240)
Cd (0.000, 0.000, 0.000)

## Properties
electronic total energy: -3.4816 eV/atom
ΔE_f (raw): -1367.0 meV per atom



Here is a relaxed structure of MnBe2Ge2 from Alexandria via LeMat-Bulk. Energies are from GGA-PBE.

Cell: 6.052 6.052 3.267 Å, 90.00 90.00 90.00°
Fractional coordinates of all 10 atoms:
Ge (0.175, 0.675, 0.500)
Ge (0.825, 0.325, 0.500)
Ge (0.675, 0.825, 0.500)
Ge (0.325, 0.175, 0.500)
Be (0.871, 0.629, 0.000)
Be (0.129, 0.371, 0.000)
Be (0.629, 0.129, 0.000)
Be (0.371, 0.871, 0.000)
Mn (0.000, 0.000, 0.000)
Mn (0.500, 0.500, 0.000)

## Properties
electronic total energy: -4.7939 eV/atom
E_form: 182 kJ/mol of formula units
energy above the most stable polymorph in this dataset: 1.65 eV/f.u.



Here is a relaxed structure of BaMgCdGa2 from Alexandria via LeMat-Bulk. Energies are from GGA-PBE.

Cell: 4.719 4.719 6.695 Å, 110.64 110.64 90.00°
Fractional coordinates of all 5 atoms:
Ba (0.000, 0.000, 0.000)
Ga (0.389, 0.389, 0.778)
Ga (0.611, 0.611, 0.222)
Cd (0.250, 0.750, 0.500)
Mg (0.750, 0.250, 0.500)

## Properties
electronic total energy: -2.4553 eV/atom
E_form: -173 kJ/mol of formula units



Here is a relaxed structure of Hf6Tl2Co from Alexandria via LeMat-Bulk. Energies are from GGA-PBE.

Cell: 6.017 6.552 10.014 Å, 90.00 90.63 90.00°
Fractional coordinates of all 18 atoms:
Hf (0.660, 0.219, 0.513)
Hf (0.904, 0.012, 0.253)
Hf (0.340, 0.781, 0.487)
Hf (0.840, 0.719, 0.987)
Hf (0.160, 0.281, 0.013)
Hf (0.670, 0.168, 0.982)
Hf (0.096, 0.988, 0.747)
Hf (0.404, 0.488, 0.753)
Hf (0.330, 0.832, 0.018)
Hf (0.830, 0.668, 0.518)
Hf (0.596, 0.512, 0.247)
Hf (0.170, 0.332, 0.482)
Tl (0.088, 0.579, 0.242)
Tl (0.588, 0.921, 0.742)
Tl (0.412, 0.079, 0.258)
Tl (0.912, 0.421, 0.758)
Co (0.500, 0.500, 0.000)
Co (0.000, 0.000, 0.500)

## Properties
electronic total energy: -7.8436 eV/atom
E_form: 93 kJ/mol of formula units



Here is a relaxed structure of Er2TmPd3 from Alexandria via LeMat-Bulk. Energies are from GGA-PBE.

Cell: 3.476 3.476 10.406 Å, 90.00 90.00 90.00°
Fractional coordinates of all 6 atoms:
Er (0.500, 0.500, 0.167)
Er (0.500, 0.500, 0.833)
Pd (0.000, 0.000, 0.665)
Pd (0.000, 0.000, 0.000)
Pd (0.000, 0.000, 0.335)
Tm (0.500, 0.500, 0.500)

## Properties
electronic total energy: -5.7879 eV/atom
E_form: -536 kJ/mol of formula units
energy above the most stable polymorph in this dataset: 0.04 eV/f.u.



Here is a relaxed structure of ScAsW2 from Alexandria via LeMat-Bulk. Energies are from GGA-PBE.

Cell: 3.445 4.283 4.567 Å, 90.00 90.00 90.00°
Fractional coordinates of all 4 atoms:
As (0.500, 0.000, 0.500)
W (0.500, 0.500, 0.000)
W (0.000, 0.000, 0.000)
Sc (0.000, 0.500, 0.500)

## Properties
electronic total energy: -9.1386 eV/atom
E_form: 32 kJ/mol of formula units